The following is a DFT calculation (GGA-PBE) of a relaxed V3W crystal.

Cell lengths 6.1110, 8.6184, 4.3008 Å; angles 90.00, 90.00, 90.00 degrees
Last column: nearest neighbours and their distance in Å.
Atoms (fractional coordinates):
V (0.0000, 0.1219, 0.2500)  8 V 2.61-2.67
V (0.0000, 0.8781, 0.7500)  8 V 2.61-2.67
V (0.2482, 0.1247, 0.7500)  4 V 2.61-2.67, 4 W 2.62-2.66
V (0.2482, 0.8753, 0.2500)  4 V 2.61-2.67, 4 W 2.62-2.66
V (0.2518, 0.3753, 0.2500)  4 V 2.61-2.67, 4 W 2.62-2.66
V (0.2518, 0.6247, 0.7500)  4 V 2.61-2.67, 4 W 2.62-2.66
V (0.5000, 0.3781, 0.7500)  8 V 2.61-2.67
V (0.5000, 0.6219, 0.2500)  8 V 2.61-2.67
V (0.7482, 0.3753, 0.2500)  4 V 2.61-2.67, 4 W 2.62-2.66
V (0.7482, 0.6247, 0.7500)  4 V 2.61-2.67, 4 W 2.62-2.66
V (0.7518, 0.1247, 0.7500)  4 V 2.61-2.67, 4 W 2.62-2.66
V (0.7518, 0.8753, 0.2500)  4 V 2.61-2.67, 4 W 2.62-2.66
W (0.0000, 0.3727, 0.7500)  8 V 2.62-2.66
W (0.0000, 0.6273, 0.2500)  8 V 2.62-2.66
W (0.5000, 0.1273, 0.2500)  8 V 2.62-2.66
W (0.5000, 0.8727, 0.7500)  8 V 2.62-2.66

total magnetic moment = 0.000 μB/atom
space group = No. 63
calculated formation energy = -0.040 eV/atom
volume = 14.157 Å³/atom